No. 1
The following is a PBE calculation of crystalline La2Pm3Er4 at its relaxed geometry, from Alexandria via LeMat-Bulk.

Cell: 7.2074 8.9443 9.7631 Å, 100.95 90.06 101.83°
Closest atoms and distances in Å follow each position.
Fractional coordinates of all 18 atoms:
La 0.0082 0.0280 0.3265  2 La 3.52-3.61, 6 Er 3.55-3.70, 4 Pm 3.62-3.71
La 0.1591 0.6443 0.7551  7 Er 3.46-3.61, 3 Pm 3.58-3.64, 1 La 3.61
La 0.8409 0.3557 0.2449  7 Er 3.46-3.61, 3 Pm 3.58-3.64, 1 La 3.61
La 0.9918 0.9720 0.6735  2 La 3.52-3.61, 6 Er 3.55-3.70, 4 Pm 3.62-3.71
Pm 0.2502 0.0054 0.0006  5 Er 3.45-3.66, 3 La 3.58-3.63, 4 Pm 3.59-3.66
Pm 0.3304 0.3102 0.5873  7 Er 3.50-3.71, 3 La 3.58-3.71, 1 Pm 3.66
Pm 0.4153 0.6705 0.0828  7 Er 3.42-3.64, 4 Pm 3.59-3.66, 1 La 3.64
Pm 0.5847 0.3295 0.9172  7 Er 3.42-3.64, 4 Pm 3.59-3.66, 1 La 3.64
Pm 0.6696 0.6898 0.4127  7 Er 3.50-3.71, 3 La 3.58-3.71, 1 Pm 3.66
Pm 0.7498 0.9946 0.9994  5 Er 3.45-3.66, 3 La 3.58-3.63, 4 Pm 3.59-3.66
Er 0.0799 0.3279 0.9195  3 La 3.46-3.61, 6 Pm 3.57-3.71, 3 Er 3.57-3.66
Er 0.1801 0.6933 0.4086  4 La 3.49-3.70, 3 Pm 3.54-3.67, 4 Er 3.59-3.66
Er 0.3396 0.3528 0.2378  5 Pm 3.42-3.59, 3 Er 3.57-3.61, 3 La 3.60-3.61
Er 0.4916 0.9701 0.6707  4 Er 3.47-3.64, 5 Pm 3.57-3.70, 3 La 3.60-3.61
Er 0.5084 0.0299 0.3293  4 Er 3.47-3.64, 5 Pm 3.57-3.70, 3 La 3.60-3.61
Er 0.6604 0.6472 0.7622  5 Pm 3.42-3.59, 3 Er 3.57-3.61, 3 La 3.60-3.61
Er 0.8199 0.3067 0.5914  4 La 3.49-3.70, 3 Pm 3.54-3.67, 4 Er 3.59-3.66
Er 0.9201 0.6721 0.0805  3 La 3.46-3.61, 6 Pm 3.57-3.71, 3 Er 3.57-3.66

Calculated values
- Space-group type: P-1

---

No. 2
The following is a PBE calculation of crystalline La3PmEr6 at its relaxed geometry, from Alexandria via LeMat-Bulk.

Cell: 9.9698 9.9698 6.8585 Å, 90.00 90.00 93.44°
Closest atoms and distances in Å follow each position.
Fractional coordinates of all 20 atoms:
La 0.1047 0.8953 0.5000  1 Pm 3.22, 3 Er 3.41
La 0.2591 0.3337 0.2219  5 Er 3.28-3.54, 2 La 3.60
La 0.3337 0.2591 0.7219  5 Er 3.28-3.54, 2 La 3.60
La 0.6663 0.7409 0.2219  5 Er 3.28-3.54, 2 La 3.60
La 0.7409 0.6663 0.7219  5 Er 3.28-3.54, 2 La 3.60
La 0.8953 0.1047 0.0000  1 Pm 3.22, 3 Er 3.41
Pm 0.3089 0.6911 0.6838  4 Er 3.20-3.47, 1 La 3.22
Pm 0.6911 0.3089 0.1838  4 Er 3.20-3.47, 1 La 3.22
Er 0.0120 0.2191 0.5047  4 Er 3.16-3.51, 3 La 3.29-3.54
Er 0.0246 0.4502 0.8922  5 Er 3.43-3.70, 2 La 3.50-3.68
Er 0.2191 0.0120 0.0047  4 Er 3.16-3.51, 3 La 3.29-3.54
Er 0.2873 0.7127 0.1874  6 Er 3.33-3.73, 1 La 3.41, 2 Pm 3.42-3.47
Er 0.4502 0.0246 0.3922  5 Er 3.43-3.70, 2 La 3.50-3.68
Er 0.4887 0.5113 0.9537  2 Pm 3.20-3.33, 4 La 3.28-3.36, 3 Er 3.33-3.44
Er 0.5113 0.4887 0.4537  2 Pm 3.20-3.33, 4 La 3.28-3.36, 3 Er 3.33-3.44
Er 0.5498 0.9754 0.8922  5 Er 3.43-3.70, 2 La 3.50-3.68
Er 0.7127 0.2873 0.6874  6 Er 3.33-3.73, 1 La 3.41, 2 Pm 3.42-3.47
Er 0.7809 0.9880 0.5047  4 Er 3.16-3.51, 3 La 3.29-3.54
Er 0.9754 0.5498 0.3922  5 Er 3.43-3.70, 2 La 3.50-3.68
Er 0.9880 0.7809 0.0047  4 Er 3.16-3.51, 3 La 3.29-3.54

Calculated values
- Space-group type: Cmc2_1

---

No. 3
The following is a PBE calculation of crystalline LaPm3Er4 at its relaxed geometry, from Alexandria via LeMat-Bulk.

Cell: 11.5130 7.3159 6.2946 Å, 90.00 90.00 90.00°
Closest atoms and distances in Å follow each position.
Fractional coordinates of all 16 atoms:
La 0.0000 0.1254 0.0000  6 Pm 3.57-3.67, 6 Er 3.58-3.69
La 0.5000 0.8746 0.5000  6 Pm 3.57-3.67, 6 Er 3.58-3.69
Pm 0.0000 0.8708 0.5028  6 Er 3.56-3.73, 4 Pm 3.58-3.59, 2 La 3.64-3.67
Pm 0.2489 0.1294 0.3380  6 Er 3.56-3.72, 2 La 3.57-3.59, 4 Pm 3.58-3.67
Pm 0.2511 0.8706 0.8380  6 Er 3.56-3.72, 2 La 3.57-3.59, 4 Pm 3.58-3.67
Pm 0.5000 0.1292 0.0028  6 Er 3.56-3.73, 4 Pm 3.58-3.59, 2 La 3.64-3.67
Pm 0.7489 0.8706 0.8380  6 Er 3.56-3.72, 2 La 3.57-3.59, 4 Pm 3.58-3.67
Pm 0.7511 0.1294 0.3380  6 Er 3.56-3.72, 2 La 3.57-3.59, 4 Pm 3.58-3.67
Er 0.0000 0.3809 0.5025  6 Er 3.52-3.61, 4 Pm 3.56-3.73, 2 La 3.65-3.67
Er 0.0000 0.6208 0.0040  6 Er 3.55-3.61, 4 Pm 3.58-3.65, 2 La 3.62-3.69
Er 0.2491 0.6208 0.3365  6 Er 3.52-3.61, 5 Pm 3.56-3.72, 1 La 3.58
Er 0.2509 0.3792 0.8365  6 Er 3.52-3.61, 5 Pm 3.56-3.72, 1 La 3.58
Er 0.5000 0.3792 0.5040  6 Er 3.55-3.61, 4 Pm 3.58-3.65, 2 La 3.62-3.69
Er 0.5000 0.6191 0.0025  6 Er 3.52-3.61, 4 Pm 3.56-3.73, 2 La 3.65-3.67
Er 0.7491 0.3792 0.8365  6 Er 3.52-3.61, 5 Pm 3.56-3.72, 1 La 3.58
Er 0.7509 0.6208 0.3365  6 Er 3.52-3.61, 5 Pm 3.56-3.72, 1 La 3.58

Calculated values
- Space-group type: Pmn2_1
- Energy above the lowest structure with this stoichiometry: 6 meV/atom

---

No. 4
The following is a PBE calculation of crystalline La3PmEr4 at its relaxed geometry, from Alexandria via LeMat-Bulk.

Cell: 9.0309 9.0309 9.0309 Å, 157.82 98.35 85.91°
Closest atoms and distances in Å follow each position.
Fractional coordinates of all 8 atoms:
La 0.0000 0.0000 0.0000  6 La 3.47-3.81, 8 Er 3.88
La 0.2569 0.7569 0.5000  6 Er 3.39-3.69, 2 La 3.47, 2 Pm 3.65
La 0.7431 0.2431 0.5000  6 Er 3.39-3.69, 2 La 3.47, 2 Pm 3.65
Pm 0.5000 0.5000 0.0000  4 Er 3.42, 2 Pm 3.47, 4 La 3.65
Er 0.1179 0.3653 0.7526  3 La 3.39-3.69, 1 Pm 3.42, 5 Er 3.47-3.56
Er 0.3872 0.6347 0.7526  3 La 3.39-3.69, 1 Pm 3.42, 5 Er 3.47-3.56
Er 0.6128 0.3653 0.2474  3 La 3.39-3.69, 1 Pm 3.42, 5 Er 3.47-3.56
Er 0.8821 0.6347 0.2474  3 La 3.39-3.69, 1 Pm 3.42, 5 Er 3.47-3.56

Calculated values
- Space-group type: Immm
- Energy above the lowest structure with this stoichiometry: 107 meV/atom

---

No. 5
The following is a PBE calculation of crystalline La4PmEr2 at its relaxed geometry, from Alexandria via LeMat-Bulk.

Cell: 9.0962 9.0962 9.0962 Å, 134.80 100.59 96.41°
Closest atoms and distances in Å follow each position.
Fractional coordinates of all 14 atoms:
La 0.1552 0.1533 0.0019  1 Er 3.29, 2 Pm 3.61
La 0.2575 0.2254 0.4679  1 La 3.05, 1 Pm 3.13, 1 Er 3.20
La 0.2575 0.7896 0.0321  1 La 3.05, 1 Pm 3.13, 1 Er 3.20
La 0.3486 0.8467 0.5019  1 Er 3.29, 2 Pm 3.61
La 0.6514 0.1533 0.4981  1 Er 3.29, 2 Pm 3.61
La 0.7425 0.2104 0.9679  1 La 3.05, 1 Pm 3.13, 1 Er 3.20
La 0.7425 0.7746 0.5321  1 La 3.05, 1 Pm 3.13, 1 Er 3.20
La 0.8448 0.8467 0.9981  1 Er 3.29, 2 Pm 3.61
Pm 0.0000 0.0000 0.5000  2 La 3.13, 2 Pm 3.50
Pm 0.0000 0.5000 0.0000  2 La 3.13, 2 Pm 3.50
Er 0.0000 0.5000 0.5000  4 La 3.51, 2 Er 3.91
Er 0.4658 0.7158 0.7500  4 La 3.20-3.29
Er 0.5000 0.5000 0.0000  4 La 3.51, 2 Er 3.91
Er 0.5342 0.2842 0.2500  4 La 3.20-3.29

Calculated values
- Space-group type: Imma
- Energy above the lowest structure with this stoichiometry: 155 meV/atom

---

No. 6
The following is a PBE calculation of crystalline La9Pm4Er at its relaxed geometry, from Alexandria via LeMat-Bulk.

Cell: 10.0737 10.0737 11.6420 Å, 90.00 90.00 120.00°
Closest atoms and distances in Å follow each position.
Fractional coordinates of all 28 atoms:
La 0.0791 0.5396 0.2500  2 Pm 3.35, 1 Er 3.60
La 0.2073 0.4147 0.5302  1 Er 3.37, 2 Pm 3.63-3.66, 2 La 3.69
La 0.2073 0.4147 0.9698  1 Er 3.37, 2 Pm 3.63-3.66, 2 La 3.69
La 0.2073 0.7927 0.5302  1 Er 3.37, 2 Pm 3.63-3.66, 2 La 3.69
La 0.2073 0.7927 0.9698  1 Er 3.37, 2 Pm 3.63-3.66, 2 La 3.69
La 0.4147 0.2073 0.0302  1 Er 3.37, 2 Pm 3.63-3.66, 2 La 3.69
La 0.4147 0.2073 0.4698  1 Er 3.37, 2 Pm 3.63-3.66, 2 La 3.69
La 0.4604 0.5396 0.2500  2 Pm 3.35, 1 Er 3.60
La 0.4604 0.9209 0.2500  2 Pm 3.35, 1 Er 3.60
La 0.5396 0.0791 0.7500  2 Pm 3.35, 1 Er 3.60
La 0.5396 0.4604 0.7500  2 Pm 3.35, 1 Er 3.60
La 0.5853 0.7927 0.5302  1 Er 3.37, 2 Pm 3.63-3.66, 2 La 3.69
La 0.5853 0.7927 0.9698  1 Er 3.37, 2 Pm 3.63-3.66, 2 La 3.69
La 0.7927 0.2073 0.0302  1 Er 3.37, 2 Pm 3.63-3.66, 2 La 3.69
La 0.7927 0.2073 0.4698  1 Er 3.37, 2 Pm 3.63-3.66, 2 La 3.69
La 0.7927 0.5853 0.0302  1 Er 3.37, 2 Pm 3.63-3.66, 2 La 3.69
La 0.7927 0.5853 0.4698  1 Er 3.37, 2 Pm 3.63-3.66, 2 La 3.69
La 0.9209 0.4604 0.7500  2 Pm 3.35, 1 Er 3.60
Pm 0.0000 0.0000 0.0000  6 Pm 3.51, 6 La 3.63
Pm 0.0000 0.0000 0.5000  6 Pm 3.51, 6 La 3.63
Pm 0.1126 0.2252 0.2500  4 La 3.35-3.66, 4 Pm 3.40-3.51
Pm 0.1126 0.8874 0.2500  4 La 3.35-3.66, 4 Pm 3.40-3.51
Pm 0.2252 0.1126 0.7500  4 La 3.35-3.66, 4 Pm 3.40-3.51
Pm 0.7748 0.8874 0.2500  4 La 3.35-3.66, 4 Pm 3.40-3.51
Pm 0.8874 0.1126 0.7500  4 La 3.35-3.66, 4 Pm 3.40-3.51
Pm 0.8874 0.7748 0.7500  4 La 3.35-3.66, 4 Pm 3.40-3.51
Er 0.3333 0.6667 0.7500  9 La 3.37-3.60
Er 0.6667 0.3333 0.2500  9 La 3.37-3.60

Calculated values
- Space-group type: P6_3/mmc

---

No. 7
The following is a PBE calculation of crystalline LaPm2Er at its relaxed geometry, from Alexandria via LeMat-Bulk.

Cell: 6.3815 5.8614 14.7122 Å, 90.00 90.00 90.00°
Closest atoms and distances in Å follow each position.
Fractional coordinates of all 16 atoms:
La 0.0858 0.2500 0.1886  7 Pm 3.62-3.69, 2 La 3.67, 3 Er 3.68-3.73
La 0.4142 0.7500 0.6886  7 Pm 3.62-3.69, 2 La 3.67, 3 Er 3.68-3.73
La 0.5858 0.2500 0.3114  7 Pm 3.62-3.69, 2 La 3.67, 3 Er 3.68-3.73
La 0.9142 0.7500 0.8114  7 Pm 3.62-3.69, 2 La 3.67, 3 Er 3.68-3.73
Pm 0.0820 0.2500 0.6846  3 Er 3.60-3.61, 4 La 3.62-3.64, 5 Pm 3.64-3.73
Pm 0.0866 0.2500 0.9378  4 Er 3.62-3.69, 5 Pm 3.63-3.73, 3 La 3.64-3.69
Pm 0.4134 0.7500 0.4378  4 Er 3.62-3.69, 5 Pm 3.63-3.73, 3 La 3.64-3.69
Pm 0.4180 0.7500 0.1846  3 Er 3.60-3.61, 4 La 3.62-3.64, 5 Pm 3.64-3.73
Pm 0.5820 0.2500 0.8154  3 Er 3.60-3.61, 4 La 3.62-3.64, 5 Pm 3.64-3.73
Pm 0.5866 0.2500 0.5622  4 Er 3.62-3.69, 5 Pm 3.63-3.73, 3 La 3.64-3.69
Pm 0.9134 0.7500 0.0622  4 Er 3.62-3.69, 5 Pm 3.63-3.73, 3 La 3.64-3.69
Pm 0.9180 0.7500 0.3154  3 Er 3.60-3.61, 4 La 3.62-3.64, 5 Pm 3.64-3.73
Er 0.0813 0.2500 0.4397  2 Er 3.58, 7 Pm 3.60-3.69, 3 La 3.68-3.73
Er 0.4187 0.7500 0.9397  2 Er 3.58, 7 Pm 3.60-3.69, 3 La 3.68-3.73
Er 0.5813 0.2500 0.0603  2 Er 3.58, 7 Pm 3.60-3.69, 3 La 3.68-3.73
Er 0.9187 0.7500 0.5603  2 Er 3.58, 7 Pm 3.60-3.69, 3 La 3.68-3.73

Calculated values
- Space-group type: Pnma
- Energy above the lowest structure with this stoichiometry: 14 meV/atom

---

No. 8
The following is a PBE calculation of crystalline La3Pm4Er3 at its relaxed geometry, from Alexandria via LeMat-Bulk.

Cell: 3.8150 9.5534 9.5534 Å, 90.31 90.00 90.00°
Closest atoms and distances in Å follow each position.
Fractional coordinates of all 10 atoms:
La 0.0000 0.0000 0.0000  6 Pm 3.36-3.49
La 0.5000 0.3370 0.8249  4 Pm 3.65-3.85, 2 La 3.81, 6 Er 3.96-4.04
La 0.5000 0.8249 0.3370  4 Pm 3.65-3.85, 2 La 3.81, 6 Er 3.96-4.04
Pm 0.5000 0.2054 0.2054  2 La 3.36, 1 Pm 3.38, 4 Er 3.43
Pm 0.5000 0.4565 0.4565  6 Er 3.32-3.43, 1 Pm 3.38, 2 La 3.71
Pm 0.5000 0.6972 0.9545  4 Er 3.34-3.43, 1 Pm 3.49, 3 La 3.49-3.65
Pm 0.5000 0.9545 0.6972  4 Er 3.34-3.43, 1 Pm 3.49, 3 La 3.49-3.65
Er 0.0000 0.1611 0.4998  6 Pm 3.34-3.43
Er 0.0000 0.4998 0.1611  6 Pm 3.34-3.43
Er 0.0000 0.6586 0.6586  6 Pm 3.32-3.43

Calculated values
- Space-group type: Amm2

---

No. 9
The following is a PBE calculation of crystalline La4Pm2Er at its relaxed geometry, from Alexandria via LeMat-Bulk.

Cell: 9.1868 9.1868 9.1868 Å, 135.45 101.00 95.54°
Closest atoms and distances in Å follow each position.
Fractional coordinates of all 14 atoms:
La 0.1531 0.1487 0.0045  1 Pm 3.41, 2 Er 3.58, 5 La 3.67-3.77
La 0.2433 0.2125 0.4692  1 La 3.05, 1 Er 3.18, 1 Pm 3.25
La 0.2433 0.7741 0.0308  1 La 3.05, 1 Er 3.18, 1 Pm 3.25
La 0.3558 0.8513 0.5045  1 Pm 3.41, 2 Er 3.58, 5 La 3.67-3.77
La 0.6442 0.1487 0.4955  1 Pm 3.41, 2 Er 3.58, 5 La 3.67-3.77
La 0.7567 0.2259 0.9692  1 La 3.05, 1 Er 3.18, 1 Pm 3.25
La 0.7567 0.7875 0.5308  1 La 3.05, 1 Er 3.18, 1 Pm 3.25
La 0.8469 0.8513 0.9955  1 Pm 3.41, 2 Er 3.58, 5 La 3.67-3.77
Pm 0.0000 0.5000 0.5000  8 La 3.52-3.94
Pm 0.0334 0.2834 0.7500  4 La 3.25-3.41, 2 Pm 3.58
Pm 0.5000 0.5000 0.0000  8 La 3.52-3.94
Pm 0.9666 0.7166 0.2500  4 La 3.25-3.41, 2 Pm 3.58
Er 0.5000 0.0000 0.0000  2 La 3.18, 2 Er 3.48
Er 0.5000 0.5000 0.5000  2 La 3.18, 2 Er 3.48

Calculated values
- Space-group type: Imma
- Energy above the lowest structure with this stoichiometry: 178 meV/atom

---

no.,DFT formation energy (eV per atom),magnetization (μB/cell)
1,0.040,0.00
2,0.218,0.00
3,0.029,0.00
4,0.141,0.00
5,0.227,0.00
6,0.142,0.00
7,0.034,0.00
8,0.082,0.00
9,0.200,0.00